*A*
! PBE AlSnBi, relaxed; values from VASP
&SYSTEM
  ibrav = 0, nat = 12, ntyp = 3
/
ATOMIC_SPECIES
Al 26.98 Al.upf
Sn 118.71 Sn.upf
Bi 208.98 Bi.upf
CELL_PARAMETERS angstrom
7.0291 0.0000 0.0000
0.0000 7.0291 0.0000
0.0000 0.0000 7.0291
ATOMIC_POSITIONS crystal
Al 0.0000 0.0000 0.0000
Al 0.0000 0.5000 0.5000
Al 0.5000 0.0000 0.5000
Al 0.5000 0.5000 0.0000
Sn 0.2500 0.2500 0.2500
Sn 0.2500 0.7500 0.7500
Sn 0.7500 0.2500 0.7500
Sn 0.7500 0.7500 0.2500
Bi 0.2500 0.2500 0.7500
Bi 0.2500 0.7500 0.2500
Bi 0.7500 0.2500 0.2500
Bi 0.7500 0.7500 0.7500
! Calculated volume ... 347 Å³ per cell
! Crystal system ... cubic

*B*
! PBE AlSnBi, relaxed; values from VASP
&SYSTEM
  ibrav = 0, nat = 3, ntyp = 3
/
ATOMIC_SPECIES
Al 26.98 Al.upf
Sn 118.71 Sn.upf
Bi 208.98 Bi.upf
CELL_PARAMETERS angstrom
4.3041 0.0000 0.0000
-2.1521 3.7275 0.0000
0.0000 0.0000 5.1777
ATOMIC_POSITIONS crystal
Al 0.0000 0.0000 0.0000
Sn 0.6667 0.3333 0.2878
Bi 0.3333 0.6667 0.6942
! Calculated volume ... 83 Å³ per cell
! Crystal system ... trigonal

Most stable: *A*. Least stable: *B*.

*A*
! PBE TaAlBi3, relaxed; values from VASP
&SYSTEM
  ibrav = 0, nat = 5, ntyp = 3
/
ATOMIC_SPECIES
Ta 180.95 Ta.upf
Al 26.98 Al.upf
Bi 208.98 Bi.upf
CELL_PARAMETERS angstrom
5.3412 0.0000 0.0000
0.0000 5.3412 0.0000
0.0000 0.0000 5.3412
ATOMIC_POSITIONS crystal
Ta 0.0000 0.0000 0.0000
Al 0.5000 0.5000 0.5000
Bi 0.0000 0.5000 0.5000
Bi 0.5000 0.0000 0.5000
Bi 0.5000 0.5000 0.0000
! Calculated volume ... 152 Å³ per cell
! Crystal system ... cubic

*B*
! PBE TaAlBi3, relaxed; values from VASP
&SYSTEM
  ibrav = 0, nat = 5, ntyp = 3
/
ATOMIC_SPECIES
Ta 180.95 Ta.upf
Al 26.98 Al.upf
Bi 208.98 Bi.upf
CELL_PARAMETERS angstrom
5.5258 0.0000 0.0000
0.0000 5.5258 0.0000
0.0000 0.0000 5.5258
ATOMIC_POSITIONS crystal
Ta 0.0000 0.0000 0.0000
Al 0.5000 0.5000 0.5000
Bi 0.0000 0.0000 0.5000
Bi 0.0000 0.5000 0.0000
Bi 0.5000 0.0000 0.0000
! Calculated volume ... 169 Å³ per cell
! Crystal system ... cubic

Most stable: *B*. Least stable: *A*.

*A*
! PBE TaAl3Bi, relaxed; values from VASP
&SYSTEM
  ibrav = 0, nat = 5, ntyp = 3
/
ATOMIC_SPECIES
Ta 180.95 Ta.upf
Al 26.98 Al.upf
Bi 208.98 Bi.upf
CELL_PARAMETERS angstrom
5.2711 0.0000 0.0000
0.0000 5.2711 0.0000
0.0000 0.0000 5.2711
ATOMIC_POSITIONS crystal
Ta 0.0000 0.0000 0.0000
Al 0.0000 0.5000 0.5000
Al 0.5000 0.0000 0.5000
Al 0.5000 0.5000 0.0000
Bi 0.5000 0.5000 0.5000
! Calculated volume ... 146 Å³ per cell
! Crystal system ... cubic

*B*
! PBE TaAl3Bi, relaxed; values from VASP
&SYSTEM
  ibrav = 0, nat = 5, ntyp = 3
/
ATOMIC_SPECIES
Ta 180.95 Ta.upf
Al 26.98 Al.upf
Bi 208.98 Bi.upf
CELL_PARAMETERS angstrom
5.0671 0.0000 0.0000
0.0000 5.0671 0.0000
0.0000 0.0000 5.0671
ATOMIC_POSITIONS crystal
Ta 0.0000 0.0000 0.0000
Al 0.0000 0.0000 0.5000
Al 0.0000 0.5000 0.0000
Al 0.5000 0.0000 0.0000
Bi 0.5000 0.5000 0.5000
! Calculated volume ... 130 Å³ per cell
! Crystal system ... cubic

Most stable: *B*. Least stable: *A*.

*A*
! PBE TbAlBi2, relaxed; values from VASP
&SYSTEM
  ibrav = 0, nat = 12, ntyp = 3
/
ATOMIC_SPECIES
Tb 158.93 Tb.upf
Al 26.98 Al.upf
Bi 208.98 Bi.upf
CELL_PARAMETERS angstrom
4.9620 0.0000 0.0000
-2.4810 4.2972 0.0000
0.0000 0.0000 24.4668
ATOMIC_POSITIONS crystal
Tb 0.0000 0.0000 0.0000
Tb 0.3333 0.6667 0.6667
Tb 0.6667 0.3333 0.3333
Al 0.0000 0.0000 0.5000
Al 0.3333 0.6667 0.1667
Al 0.6667 0.3333 0.8333
Bi 0.0000 0.0000 0.3932
Bi 0.0000 0.0000 0.6068
Bi 0.3333 0.6667 0.0598
Bi 0.3333 0.6667 0.2735
Bi 0.6667 0.3333 0.7265
Bi 0.6667 0.3333 0.9402
! Calculated volume ... 522 Å³ per cell
! Crystal system ... trigonal

*B*
! PBE TbAlBi2, relaxed; values from VASP
&SYSTEM
  ibrav = 0, nat = 4, ntyp = 3
/
ATOMIC_SPECIES
Tb 158.93 Tb.upf
Al 26.98 Al.upf
Bi 208.98 Bi.upf
CELL_PARAMETERS angstrom
4.9752 0.0000 0.0000
0.0000 4.9752 0.0000
0.0000 0.0000 4.3853
ATOMIC_POSITIONS crystal
Tb 0.0000 0.0000 0.0000
Al 0.5000 0.5000 0.0000
Bi 0.0000 0.5000 0.5000
Bi 0.5000 0.0000 0.5000
! Calculated volume ... 109 Å³ per cell
! Crystal system ... tetragonal

Most stable: *B*. Least stable: *A*.

*A*
! PBE AlTc2Bi, relaxed; values from VASP
&SYSTEM
  ibrav = 0, nat = 16, ntyp = 3
/
ATOMIC_SPECIES
Al 26.98 Al.upf
Tc 98.00 Tc.upf
Bi 208.98 Bi.upf
CELL_PARAMETERS angstrom
4.1800 0.0000 0.0000
0.0000 4.1800 0.0000
0.0000 0.0000 18.3844
ATOMIC_POSITIONS crystal
Al 0.0000 0.0000 0.0000
Al 0.0000 0.5000 0.2500
Al 0.5000 0.0000 0.7500
Al 0.5000 0.5000 0.5000
Tc 0.1569 0.2500 0.1250
Tc 0.2500 0.6569 0.3750
Tc 0.2500 0.8431 0.8750
Tc 0.3431 0.2500 0.6250
Tc 0.6569 0.7500 0.6250
Tc 0.7500 0.1569 0.8750
Tc 0.7500 0.3431 0.3750
Tc 0.8431 0.7500 0.1250
Bi 0.0000 0.0000 0.5000
Bi 0.0000 0.5000 0.7500
Bi 0.5000 0.0000 0.2500
Bi 0.5000 0.5000 0.0000
! Calculated volume ... 321 Å³ per cell
! Crystal system ... tetragonal

*B*
! PBE AlTc2Bi, relaxed; values from VASP
&SYSTEM
  ibrav = 0, nat = 16, ntyp = 3
/
ATOMIC_SPECIES
Al 26.98 Al.upf
Tc 98.00 Tc.upf
Bi 208.98 Bi.upf
CELL_PARAMETERS angstrom
6.4420 0.0000 0.0000
0.0000 6.4420 0.0000
0.0000 0.0000 6.4420
ATOMIC_POSITIONS crystal
Al 0.0000 0.0000 0.0000
Al 0.0000 0.5000 0.5000
Al 0.5000 0.0000 0.5000
Al 0.5000 0.5000 0.0000
Tc 0.2500 0.2500 0.2500
Tc 0.2500 0.2500 0.7500
Tc 0.2500 0.7500 0.2500
Tc 0.2500 0.7500 0.7500
Tc 0.7500 0.2500 0.2500
Tc 0.7500 0.2500 0.7500
Tc 0.7500 0.7500 0.2500
Tc 0.7500 0.7500 0.7500
Bi 0.0000 0.0000 0.5000
Bi 0.0000 0.5000 0.0000
Bi 0.5000 0.0000 0.0000
Bi 0.5000 0.5000 0.5000
! Calculated volume ... 267 Å³ per cell
! Crystal system ... cubic

Most stable: *B*. Least stable: *A*.

*A*
! PBE Al2BiTe, relaxed; values from VASP
&SYSTEM
  ibrav = 0, nat = 16, ntyp = 3
/
ATOMIC_SPECIES
Al 26.98 Al.upf
Bi 208.98 Bi.upf
Te 127.60 Te.upf
CELL_PARAMETERS angstrom
7.3276 0.0000 0.0000
0.0000 7.3276 0.0000
0.0000 0.0000 7.3276
ATOMIC_POSITIONS crystal
Al 0.2500 0.2500 0.2500
Al 0.2500 0.2500 0.7500
Al 0.2500 0.7500 0.2500
Al 0.2500 0.7500 0.7500
Al 0.7500 0.2500 0.2500
Al 0.7500 0.2500 0.7500
Al 0.7500 0.7500 0.2500
Al 0.7500 0.7500 0.7500
Bi 0.0000 0.0000 0.0000
Bi 0.0000 0.5000 0.5000
Bi 0.5000 0.0000 0.5000
Bi 0.5000 0.5000 0.0000
Te 0.0000 0.0000 0.5000
Te 0.0000 0.5000 0.0000
Te 0.5000 0.0000 0.0000
Te 0.5000 0.5000 0.5000
! Calculated volume ... 393 Å³ per cell
! Crystal system ... cubic

*B*
! PBE Al2BiTe, relaxed; values from VASP
&SYSTEM
  ibrav = 0, nat = 16, ntyp = 3
/
ATOMIC_SPECIES
Al 26.98 Al.upf
Bi 208.98 Bi.upf
Te 127.60 Te.upf
CELL_PARAMETERS angstrom
6.4565 0.0000 0.0000
0.0000 6.4565 0.0000
0.0000 0.0000 13.3207
ATOMIC_POSITIONS crystal
Al 0.2492 0.2500 0.1250
Al 0.2500 0.7492 0.3750
Al 0.2500 0.7508 0.8750
Al 0.2508 0.2500 0.6250
Al 0.7492 0.7500 0.6250
Al 0.7500 0.2492 0.8750
Al 0.7500 0.2508 0.3750
Al 0.7508 0.7500 0.1250
Bi 0.0000 0.0000 0.5000
Bi 0.0000 0.5000 0.7500
Bi 0.5000 0.0000 0.2500
Bi 0.5000 0.5000 0.0000
Te 0.0000 0.0000 0.0000
Te 0.0000 0.5000 0.2500
Te 0.5000 0.0000 0.7500
Te 0.5000 0.5000 0.5000
! Calculated volume ... 555 Å³ per cell
! Crystal system ... tetragonal

Most stable: *B*. Least stable: *A*.